No. 1
A plane-wave DFT calculation with GGA-PBEsol was carried out for a geometry-optimized SrBC3 structure.

The structure in CIF format:
```
data_SrBC3
_chemical_formula_sum 'Sr1 B1 C3'
_symmetry_space_group_name_H-M 'P 1'
_symmetry_Int_Tables_number 1
_cell_length_a 4.599
_cell_length_b 4.599
_cell_length_c 4.599
_cell_angle_alpha 90.00
_cell_angle_beta 90.00
_cell_angle_gamma 90.00
loop_
_symmetry_equiv_pos_as_xyz
'x,y,z'
loop_
_atom_site_label
_atom_site_type_symbol
_atom_site_fract_x
_atom_site_fract_y
_atom_site_fract_z
Sr1 Sr 0.000 0.000 0.000
B1 B 0.500 0.500 0.500
C1 C 0.000 0.000 0.500
C2 C 0.000 0.500 0.000
C3 C 0.500 0.000 0.000
```

Total moment   0.0004 μB per atom
ΔH_f (0 K)   436.6 kJ/mol of atoms



No. 2
A plane-wave DFT calculation with GGA-PBEsol was carried out for a geometry-optimized Sr2BC structure.

The structure in CIF format:
```
data_Sr2BC
_chemical_formula_sum 'Sr2 B1 C1'
_symmetry_space_group_name_H-M 'P 1'
_symmetry_Int_Tables_number 1
_cell_length_a 4.768
_cell_length_b 4.768
_cell_length_c 4.768
_cell_angle_alpha 60.00
_cell_angle_beta 60.00
_cell_angle_gamma 60.00
loop_
_symmetry_equiv_pos_as_xyz
'x,y,z'
loop_
_atom_site_label
_atom_site_type_symbol
_atom_site_fract_x
_atom_site_fract_y
_atom_site_fract_z
Sr1 Sr 0.250 0.250 0.250
Sr2 Sr 0.750 0.750 0.750
B1 B 0.000 0.000 0.000
C1 C 0.500 0.500 0.500
```

Total moment   0.0063 μB per atom
ΔH_f (0 K)   108.0 kJ/mol of atoms



No. 3
A plane-wave DFT calculation with GGA-PBEsol was carried out for a geometry-optimized Ta2BC structure.

The structure in CIF format:
```
data_Ta2BC
_chemical_formula_sum 'Ta4 B2 C2'
_symmetry_space_group_name_H-M 'P 1'
_symmetry_Int_Tables_number 1
_cell_length_a 5.989
_cell_length_b 5.989
_cell_length_c 5.989
_cell_angle_alpha 132.02
_cell_angle_beta 132.02
_cell_angle_gamma 70.20
loop_
_symmetry_equiv_pos_as_xyz
'x,y,z'
loop_
_atom_site_label
_atom_site_type_symbol
_atom_site_fract_x
_atom_site_fract_y
_atom_site_fract_z
Ta1 Ta 0.110 0.625 0.985
Ta2 Ta 0.375 0.360 0.485
Ta3 Ta 0.640 0.125 0.015
Ta4 Ta 0.875 0.890 0.515
B1 B 0.250 0.750 0.500
B2 B 0.500 0.500 0.000
C1 C 0.000 0.000 0.000
C2 C 0.750 0.250 0.500
```

Total moment   0.0000 μB per atom
ΔH_f (0 K)   25.7 kJ/mol of atoms



No. 4
A plane-wave DFT calculation with GGA-PBEsol was carried out for a geometry-optimized TbB2C2 structure.

The structure in CIF format:
```
data_TbB2C2
_chemical_formula_sum 'Tb2 B4 C4'
_symmetry_space_group_name_H-M 'P 1'
_symmetry_Int_Tables_number 1
_cell_length_a 5.336
_cell_length_b 5.336
_cell_length_c 3.522
_cell_angle_alpha 90.00
_cell_angle_beta 90.00
_cell_angle_gamma 90.00
loop_
_symmetry_equiv_pos_as_xyz
'x,y,z'
loop_
_atom_site_label
_atom_site_type_symbol
_atom_site_fract_x
_atom_site_fract_y
_atom_site_fract_z
Tb1 Tb 0.000 0.000 0.000
Tb2 Tb 0.500 0.500 0.000
B1 B 0.136 0.364 0.500
B2 B 0.364 0.864 0.500
B3 B 0.636 0.136 0.500
B4 B 0.864 0.636 0.500
C1 C 0.162 0.662 0.500
C2 C 0.338 0.162 0.500
C3 C 0.662 0.838 0.500
C4 C 0.838 0.338 0.500
```

Total moment   0.0000 μB per atom
ΔH_f (0 K)   -48.6 kJ/mol of atoms



No. 5
A plane-wave DFT calculation with GGA-PBEsol was carried out for a geometry-optimized Tb10B7C10 structure.

The structure in CIF format:
```
data_Tb10B7C10
_chemical_formula_sum 'Tb40 B28 C40'
_symmetry_space_group_name_H-M 'P 1'
_symmetry_Int_Tables_number 1
_cell_length_a 8.002
_cell_length_b 8.002
_cell_length_c 23.399
_cell_angle_alpha 96.06
_cell_angle_beta 96.06
_cell_angle_gamma 89.33
loop_
_symmetry_equiv_pos_as_xyz
'x,y,z'
loop_
_atom_site_label
_atom_site_type_symbol
_atom_site_fract_x
_atom_site_fract_y
_atom_site_fract_z
Tb1 Tb 0.003 0.343 0.318
Tb2 Tb 0.047 0.804 0.182
Tb3 Tb 0.068 0.922 0.921
Tb4 Tb 0.078 0.932 0.579
Tb5 Tb 0.117 0.680 0.421
Tb6 Tb 0.118 0.469 0.079
Tb7 Tb 0.146 0.587 0.816
Tb8 Tb 0.196 0.953 0.318
Tb9 Tb 0.210 0.260 0.696
Tb10 Tb 0.260 0.210 0.196
Tb11 Tb 0.272 0.522 0.578
Tb12 Tb 0.274 0.334 0.923
Tb13 Tb 0.320 0.883 0.079
Tb14 Tb 0.334 0.274 0.423
Tb15 Tb 0.343 0.003 0.818
Tb16 Tb 0.393 0.535 0.317
Tb17 Tb 0.413 0.854 0.684
Tb18 Tb 0.465 0.607 0.183
Tb19 Tb 0.469 0.118 0.579
Tb20 Tb 0.478 0.728 0.922
Tb21 Tb 0.522 0.272 0.078
Tb22 Tb 0.531 0.882 0.421
Tb23 Tb 0.535 0.393 0.817
Tb24 Tb 0.587 0.146 0.316
Tb25 Tb 0.607 0.465 0.683
Tb26 Tb 0.657 0.997 0.182
Tb27 Tb 0.666 0.726 0.577
Tb28 Tb 0.680 0.117 0.921
Tb29 Tb 0.726 0.666 0.077
Tb30 Tb 0.728 0.478 0.422
Tb31 Tb 0.740 0.790 0.804
Tb32 Tb 0.790 0.740 0.304
Tb33 Tb 0.804 0.047 0.682
Tb34 Tb 0.854 0.413 0.184
Tb35 Tb 0.882 0.531 0.921
Tb36 Tb 0.883 0.320 0.579
Tb37 Tb 0.922 0.068 0.421
Tb38 Tb 0.932 0.078 0.079
Tb39 Tb 0.953 0.196 0.818
Tb40 Tb 0.997 0.657 0.682
B1 B 0.006 0.756 0.019
B2 B 0.067 0.343 0.479
B3 B 0.071 0.929 0.750
B4 B 0.118 0.573 0.252
B5 B 0.160 0.206 0.525
B6 B 0.189 0.648 0.979
B7 B 0.206 0.160 0.025
B8 B 0.244 0.994 0.481
B9 B 0.343 0.067 0.979
B10 B 0.352 0.811 0.521
B11 B 0.356 0.583 0.023
B12 B 0.379 0.621 0.750
B13 B 0.417 0.644 0.477
B14 B 0.427 0.882 0.248
B15 B 0.573 0.118 0.752
B16 B 0.583 0.356 0.523
B17 B 0.621 0.379 0.250
B18 B 0.644 0.417 0.977
B19 B 0.648 0.189 0.479
B20 B 0.657 0.933 0.021
B21 B 0.756 0.006 0.519
B22 B 0.794 0.840 0.975
B23 B 0.811 0.352 0.021
B24 B 0.840 0.794 0.475
B25 B 0.882 0.427 0.748
B26 B 0.929 0.071 0.250
B27 B 0.933 0.657 0.521
B28 B 0.994 0.244 0.981
C1 C 0.025 0.776 0.083
C2 C 0.026 0.372 0.419
C3 C 0.043 0.891 0.808
C4 C 0.093 0.642 0.311
C5 C 0.109 0.957 0.692
C6 C 0.160 0.511 0.194
C7 C 0.175 0.629 0.914
C8 C 0.181 0.230 0.591
C9 C 0.224 0.975 0.417
C10 C 0.230 0.181 0.091
C11 C 0.245 0.295 0.818
C12 C 0.295 0.245 0.318
C13 C 0.307 0.560 0.691
C14 C 0.358 0.907 0.189
C15 C 0.371 0.825 0.586
C16 C 0.372 0.026 0.919
C17 C 0.421 0.575 0.082
C18 C 0.425 0.579 0.418
C19 C 0.440 0.693 0.809
C20 C 0.489 0.840 0.306
C21 C 0.511 0.160 0.694
C22 C 0.560 0.307 0.191
C23 C 0.575 0.421 0.582
C24 C 0.579 0.425 0.918
C25 C 0.628 0.974 0.081
C26 C 0.629 0.175 0.414
C27 C 0.642 0.093 0.811
C28 C 0.693 0.440 0.309
C29 C 0.705 0.755 0.682
C30 C 0.755 0.705 0.182
C31 C 0.770 0.819 0.909
C32 C 0.776 0.025 0.583
C33 C 0.819 0.770 0.409
C34 C 0.825 0.371 0.086
C35 C 0.840 0.489 0.806
C36 C 0.891 0.043 0.308
C37 C 0.907 0.358 0.689
C38 C 0.957 0.109 0.192
C39 C 0.974 0.628 0.581
C40 C 0.975 0.224 0.917
```

Total moment   0.0000 μB per atom
ΔH_f (0 K)   -43.2 kJ/mol of atoms



No. 6
A plane-wave DFT calculation with GGA-PBEsol was carried out for a geometry-optimized TcBC3 structure.

The structure in CIF format:
```
data_TcBC3
_chemical_formula_sum 'Tc1 B1 C3'
_symmetry_space_group_name_H-M 'P 1'
_symmetry_Int_Tables_number 1
_cell_length_a 3.956
_cell_length_b 3.956
_cell_length_c 3.956
_cell_angle_alpha 90.00
_cell_angle_beta 90.00
_cell_angle_gamma 90.00
loop_
_symmetry_equiv_pos_as_xyz
'x,y,z'
loop_
_atom_site_label
_atom_site_type_symbol
_atom_site_fract_x
_atom_site_fract_y
_atom_site_fract_z
Tc1 Tc 0.000 0.000 0.000
B1 B 0.500 0.500 0.500
C1 C 0.000 0.000 0.500
C2 C 0.000 0.500 0.000
C3 C 0.500 0.000 0.000
```

Total moment   0.0001 μB per atom
ΔH_f (0 K)   261.5 kJ/mol of atoms



No. 7
A plane-wave DFT calculation with GGA-PBEsol was carried out for a geometry-optimized Tc2B2C structure.

The structure in CIF format:
```
data_Tc2B2C
_chemical_formula_sum 'Tc2 B2 C1'
_symmetry_space_group_name_H-M 'P 1'
_symmetry_Int_Tables_number 1
_cell_length_a 6.292
_cell_length_b 6.292
_cell_length_c 6.292
_cell_angle_alpha 154.76
_cell_angle_beta 154.76
_cell_angle_gamma 36.00
loop_
_symmetry_equiv_pos_as_xyz
'x,y,z'
loop_
_atom_site_label
_atom_site_type_symbol
_atom_site_fract_x
_atom_site_fract_y
_atom_site_fract_z
Tc1 Tc 0.105 0.105 0.000
Tc2 Tc 0.895 0.895 0.000
B1 B 0.250 0.750 0.500
B2 B 0.750 0.250 0.500
C1 C 0.500 0.500 0.000
```

Total moment   0.0000 μB per atom
ΔH_f (0 K)   13.8 kJ/mol of atoms



No. 8
A plane-wave DFT calculation with GGA-PBEsol was carried out for a geometry-optimized TiTc2BC structure.

The structure in CIF format:
```
data_TiTc2BC
_chemical_formula_sum 'Ti1 Tc2 B1 C1'
_symmetry_space_group_name_H-M 'P 1'
_symmetry_Int_Tables_number 1
_cell_length_a 4.346
_cell_length_b 4.346
_cell_length_c 2.981
_cell_angle_alpha 90.00
_cell_angle_beta 90.00
_cell_angle_gamma 90.00
loop_
_symmetry_equiv_pos_as_xyz
'x,y,z'
loop_
_atom_site_label
_atom_site_type_symbol
_atom_site_fract_x
_atom_site_fract_y
_atom_site_fract_z
Ti1 Ti 0.000 0.000 0.000
Tc1 Tc 0.000 0.500 0.500
Tc2 Tc 0.500 0.000 0.500
B1 B 0.500 0.500 0.500
C1 C 0.500 0.500 0.000
```

Total moment   0.0000 μB per atom
ΔH_f (0 K)   44.1 kJ/mol of atoms